(1)
# PBE NaCaPd4, optimized geometry
data_NaCaPd4
_space_group_name_H-M_alt 'P 1'
_space_group_IT_number 1
_space_group_name_Hall 'P 1'
_cell_length_a 5.424
_cell_length_b 5.424
_cell_length_c 5.424
_cell_angle_alpha 60.00
_cell_angle_beta 60.00
_cell_angle_gamma 60.00
loop_
_atom_site_label
_atom_site_type_symbol
_atom_site_fract_x
_atom_site_fract_y
_atom_site_fract_z
Ca1 Ca 0.250 0.250 0.250
Pd1 Pd 0.625 0.625 0.125
Pd2 Pd 0.625 0.125 0.625
Pd3 Pd 0.625 0.625 0.625
Pd4 Pd 0.125 0.625 0.625
Na1 Na 0.000 0.000 0.000
# SG: No. 216
# Magnetic moment, μB per formula unit: 0.00
# V, Å³/atom: 18.8
# Total energy, eV per atom: -4.4833
# ΔH_f (0 K), eV/atom: -0.47

***

(2)
# PBE Na2CaPd2, optimized geometry
data_Na2CaPd2
_space_group_name_H-M_alt 'P 1'
_space_group_IT_number 1
_space_group_name_Hall 'P 1'
_cell_length_a 4.106
_cell_length_b 4.106
_cell_length_c 7.461
_cell_angle_alpha 74.03
_cell_angle_beta 74.03
_cell_angle_gamma 90.00
loop_
_atom_site_label
_atom_site_type_symbol
_atom_site_fract_x
_atom_site_fract_y
_atom_site_fract_z
Ca1 Ca 0.000 0.000 0.000
Pd1 Pd 0.404 0.404 0.192
Pd2 Pd 0.596 0.596 0.808
Na1 Na 0.750 0.250 0.500
Na2 Na 0.250 0.750 0.500
# SG: No. 139
# Magnetic moment, μB per formula unit: 0.00
# Energy relative to the lowest polymorph listed for this composition, eV/atom: 0.000
# V, Å³/atom: 23.2
# Total energy, eV per atom: -3.2161
# ΔH_f (0 K), eV/atom: -0.21

***

(3)
# PBE NaCa2Pd4, optimized geometry
data_NaCa2Pd4
_space_group_name_H-M_alt 'P 1'
_space_group_IT_number 1
_space_group_name_Hall 'P 1'
_cell_length_a 4.712
_cell_length_b 4.712
_cell_length_c 7.990
_cell_angle_alpha 72.85
_cell_angle_beta 72.85
_cell_angle_gamma 90.00
loop_
_atom_site_label
_atom_site_type_symbol
_atom_site_fract_x
_atom_site_fract_y
_atom_site_fract_z
Pd1 Pd 0.500 0.000 0.000
Pd2 Pd 0.173 0.173 0.653
Pd3 Pd 0.827 0.827 0.347
Pd4 Pd 0.000 0.500 0.000
Ca1 Ca 0.363 0.363 0.274
Ca2 Ca 0.637 0.637 0.726
Na1 Na 0.000 0.000 0.000
# SG: No. 139
# Magnetic moment, μB per formula unit: 0.00
# V, Å³/atom: 23.0
# Total energy, eV per atom: -3.6641
# ΔH_f (0 K), eV/atom: 0.06

***

(4)
# PBE Na2Ca2Pd, optimized geometry
data_Na2Ca2Pd
_space_group_name_H-M_alt 'P 1'
_space_group_IT_number 1
_space_group_name_Hall 'P 1'
_cell_length_a 7.549
_cell_length_b 7.549
_cell_length_c 6.174
_cell_angle_alpha 90.00
_cell_angle_beta 90.00
_cell_angle_gamma 90.00
loop_
_atom_site_label
_atom_site_type_symbol
_atom_site_fract_x
_atom_site_fract_y
_atom_site_fract_z
Na1 Na 0.666 0.834 0.500
Na2 Na 0.334 0.166 0.500
Na3 Na 0.166 0.666 0.500
Na4 Na 0.834 0.334 0.500
Ca1 Ca 0.172 0.328 0.000
Ca2 Ca 0.328 0.828 0.000
Ca3 Ca 0.672 0.172 0.000
Ca4 Ca 0.828 0.672 0.000
Pd1 Pd 0.500 0.500 0.000
Pd2 Pd 0.000 0.000 0.000
# SG: No. 127
# Magnetic moment, μB per formula unit: 0.00
# Energy relative to the lowest polymorph listed for this composition, eV/atom: 0.000
# V, Å³/atom: 35.2
# Total energy, eV per atom: -2.4215
# ΔH_f (0 K), eV/atom: -0.05

***

Question: The highest total energy belongs to which entry?
Answer: Na2Ca2Pd

***

Question: What is the formula in the second record?
Answer: Na2CaPd2